Material: CrP3
Method: DFT, PBE-GGA
State: optimized geometry

```
4
Lattice="-2.049 2.049 3.000 2.049 -2.049 3.000 2.049 2.049 -3.000" Properties=species:S:1:pos:R:3 pbc="T T T"
Cr 0.000 0.000 0.000
P 2.049 0.000 1.500
P 0.000 0.000 3.000
P 0.000 2.049 1.500
```

E = -6.0091 eV/atom
DOS(E_F) = 0.66 states/eV/atom
calculated formation energy = 0.454 eV per atom
energy relative to the lowest polymorph listed for this composition = 0.570 eV per atom



Material: CrP3
Method: DFT, PBE-GGA
State: optimized geometry

```
8
Lattice="-1.640 1.640 10.987 1.640 -1.640 10.987 1.640 1.640 -10.987" Properties=species:S:1:pos:R:3 pbc="T T T"
Cr 0.000 0.000 3.838
Cr 0.000 0.000 18.137
P 1.640 0.000 0.000
P 1.640 0.000 5.494
P 0.000 0.000 8.269
P 0.000 1.640 0.000
P 0.000 0.000 13.706
P 0.000 1.640 5.494
```

E = -6.2530 eV/atom
DOS(E_F) = 0.81 states/eV/atom
calculated formation energy = 0.210 eV per atom
energy relative to the lowest polymorph listed for this composition = 0.326 eV per atom



Material: CrP3
Method: DFT, PBE-GGA
State: optimized geometry

```
4
Lattice="2.432 -2.442 0.000 2.432 2.442 0.000 0.000 0.000 4.729" Properties=species:S:1:pos:R:3 pbc="T T T"
Cr 0.000 0.000 0.000
P 2.432 1.319 2.365
P 2.432 0.000 0.000
P 2.432 -1.319 2.365
```

E = -6.3244 eV/atom
DOS(E_F) = 0.50 states/eV/atom
calculated formation energy = 0.139 eV per atom
energy relative to the lowest polymorph listed for this composition = 0.255 eV per atom



Material: Cr5P
Method: DFT, PBE-GGA
State: optimized geometry

```
6
Lattice="4.306 0.000 0.000 -2.153 3.729 0.000 0.000 0.000 4.311" Properties=species:S:1:pos:R:3 pbc="T T T"
Cr -1.471 2.548 0.000
Cr 0.682 1.181 0.000
Cr 0.000 2.486 2.155
Cr 2.153 1.243 2.155
Cr 2.942 0.000 0.000
P 0.000 0.000 2.155
```

E = -8.8708 eV/atom
DOS(E_F) = 1.33 states/eV/atom
calculated formation energy = 0.050 eV per atom
energy relative to the lowest polymorph listed for this composition = 0.192 eV per atom



Material: CrP3
Method: DFT, PBE-GGA
State: optimized geometry

```
4
Lattice="3.115 0.000 0.000 -1.557 2.697 0.000 0.000 0.000 6.464" Properties=species:S:1:pos:R:3 pbc="T T T"
Cr 0.000 0.000 0.000
P 0.000 0.000 3.232
P 1.557 0.899 1.526
P 1.557 0.899 4.938
```

E = -6.3774 eV/atom
DOS(E_F) = 0.57 states/eV/atom
calculated formation energy = 0.086 eV per atom
energy relative to the lowest polymorph listed for this composition = 0.202 eV per atom



Material: Cr2P
Method: DFT, PBE-GGA
State: optimized geometry

```
6
Lattice="0.000 3.333 3.333 3.333 0.000 3.333 3.333 3.333 0.000" Properties=species:S:1:pos:R:3 pbc="T T T"
Cr 0.000 0.000 0.000
Cr 1.667 1.667 0.000
Cr 1.667 0.000 1.667
Cr 0.000 1.667 1.667
P 2.500 2.500 2.500
P 4.166 4.166 4.166
```

E = -7.8463 eV/atom
DOS(E_F) = 1.17 states/eV/atom
calculated formation energy = 0.373 eV per atom



Material: CrP3
Method: DFT, PBE-GGA
State: optimized geometry

```
4
Lattice="1.671 0.965 5.987 -1.671 0.965 5.987 0.000 -1.929 5.987" Properties=species:S:1:pos:R:3 pbc="T T T"
Cr 0.000 0.000 0.000
P 0.000 0.000 4.430
P 0.000 0.000 8.981
P 0.000 0.000 13.531
```

E = -6.4088 eV/atom
DOS(E_F) = 0.47 states/eV/atom
calculated formation energy = 0.054 eV per atom
energy relative to the lowest polymorph listed for this composition = 0.170 eV per atom



Material: Cr2P
Method: DFT, PBE-GGA
State: optimized geometry

```
12
Lattice="5.422 0.000 0.000 0.000 5.422 0.000 0.000 0.000 5.422" Properties=species:S:1:pos:R:3 pbc="T T T"
Cr 0.654 0.654 0.654
Cr 0.654 2.057 3.365
Cr 2.057 3.365 0.654
Cr 2.057 4.768 3.365
Cr 3.365 0.654 2.057
Cr 3.365 2.057 4.768
Cr 4.768 3.365 2.057
Cr 4.768 4.768 4.768
P 0.000 0.000 2.711
P 0.000 2.711 0.000
P 2.711 0.000 0.000
P 2.711 2.711 2.711
```

E = -8.1044 eV/atom
DOS(E_F) = 1.22 states/eV/atom
calculated formation energy = 0.114 eV per atom



Material: CrP3
Method: DFT, PBE-GGA
State: optimized geometry

```
8
Lattice="3.747 -6.061 0.000 3.747 6.061 0.000 0.000 0.000 3.670" Properties=species:S:1:pos:R:3 pbc="T T T"
Cr 3.747 5.299 2.752
Cr 3.747 -5.299 0.917
P 1.573 1.130 2.752
P 3.747 3.427 0.917
P 1.573 -1.130 0.917
P 5.921 1.130 2.752
P 3.747 -3.427 2.752
P 5.921 -1.130 0.917
```

E = -6.4069 eV/atom
DOS(E_F) = 0.27 states/eV/atom
calculated formation energy = 0.056 eV per atom
energy relative to the lowest polymorph listed for this composition = 0.172 eV per atom



Material: CrP3
Method: DFT, PBE-GGA
State: optimized geometry

```
8
Lattice="2.331 -6.616 0.000 2.331 6.616 0.000 0.000 0.000 3.765" Properties=species:S:1:pos:R:3 pbc="T T T"
Cr 2.331 5.922 2.824
Cr 2.331 -5.922 0.941
P 1.254 2.656 0.941
P 2.331 0.663 2.824
P 1.254 -2.656 2.824
P 3.408 2.656 0.941
P 2.331 -0.663 0.941
P 3.408 -2.656 2.824
```

E = -6.1594 eV/atom
DOS(E_F) = 0.37 states/eV/atom
calculated formation energy = 0.304 eV per atom
energy relative to the lowest polymorph listed for this composition = 0.420 eV per atom



Material: Cr7P
Method: DFT, PBE-GGA
State: optimized geometry

```
8
Lattice="0.000 3.597 3.597 3.597 0.000 3.597 3.597 3.597 0.000" Properties=species:S:1:pos:R:3 pbc="T T T"
Cr 0.000 0.000 0.000
Cr 1.798 1.798 0.000
Cr 1.798 0.000 1.798
Cr 3.597 1.798 1.798
Cr 0.000 1.798 1.798
Cr 1.798 3.597 1.798
Cr 1.798 1.798 3.597
P 3.597 3.597 3.597
```

E = -8.9307 eV/atom
DOS(E_F) = 1.57 states/eV/atom
calculated formation energy = 0.166 eV per atom



Material: Cr2P
Method: DFT, PBE-GGA
State: optimized geometry

```
6
Lattice="3.889 0.000 0.000 -1.944 3.368 0.000 0.000 0.000 5.633" Properties=species:S:1:pos:R:3 pbc="T T T"
Cr 0.000 2.245 0.292
Cr 0.000 2.245 2.525
Cr 1.944 1.123 3.108
Cr 1.944 1.123 5.341
P 0.000 0.000 1.408
P 0.000 0.000 4.225
```

E = -7.9641 eV/atom
DOS(E_F) = 0.83 states/eV/atom
calculated formation energy = 0.255 eV per atom



Material: Cr2P
Method: DFT, PBE-GGA
State: optimized geometry

```
18
Lattice="-3.270 5.104 3.166 3.270 -5.104 3.166 3.270 5.104 -3.166" Properties=species:S:1:pos:R:3 pbc="T T T"
Cr 0.000 0.000 0.000
Cr 3.270 0.000 0.474
Cr 1.908 3.825 -1.130
Cr 1.363 -1.279 2.036
Cr 0.000 2.916 0.622
Cr 1.908 6.383 -1.130
Cr 1.363 1.279 2.036
Cr 3.270 2.940 1.155
Cr -1.339 5.104 1.308
Cr 1.339 5.104 1.308
Cr 0.000 7.292 0.622
Cr 0.000 2.164 4.321
P 1.779 1.685 -0.319
P 4.762 1.685 -0.319
P 3.270 0.000 2.667
P 0.000 0.000 3.347
P -1.491 3.419 2.847
P 1.491 3.419 2.847
```

E = -8.6290 eV/atom
DOS(E_F) = 0.87 states/eV/atom
calculated formation energy = -0.410 eV per atom



Material: CrP3
Method: DFT, PBE-GGA
State: optimized geometry

```
4
Lattice="4.421 0.000 0.000 0.000 4.421 0.000 0.000 0.000 4.421" Properties=species:S:1:pos:R:3 pbc="T T T"
Cr 0.000 0.000 0.000
P 0.000 0.000 2.211
P 0.000 2.211 0.000
P 2.211 0.000 0.000
```

E = -5.9042 eV/atom
DOS(E_F) = 1.76 states/eV/atom
calculated formation energy = 0.559 eV per atom
energy relative to the lowest polymorph listed for this composition = 0.675 eV per atom



Material: CrP3
Method: DFT, PBE-GGA
State: optimized geometry

```
4
Lattice="3.502 2.022 1.423 -3.502 2.022 1.423 0.000 -4.043 1.423" Properties=species:S:1:pos:R:3 pbc="T T T"
Cr 0.000 0.000 0.000
P -1.751 -1.011 1.423
P -1.751 1.011 2.845
P 0.000 2.022 1.423
```

E = -6.3370 eV/atom
DOS(E_F) = 1.00 states/eV/atom
calculated formation energy = 0.126 eV per atom
energy relative to the lowest polymorph listed for this composition = 0.242 eV per atom



Material: CrP5
Method: DFT, PBE-GGA
State: optimized geometry

```
6
Lattice="4.427 0.000 0.000 0.000 1.522 7.120 0.000 -1.522 7.120" Properties=species:S:1:pos:R:3 pbc="T T T"
Cr 0.000 0.000 0.000
P 0.000 0.000 5.332
P 0.000 0.000 8.979
P 2.213 0.000 4.444
P 2.213 0.000 8.096
P 2.213 0.000 13.396
```

E = -5.9286 eV/atom
DOS(E_F) = 0.51 states/eV/atom
calculated formation energy = 0.184 eV per atom
energy relative to the lowest polymorph listed for this composition = 0.079 eV per atom



Material: Cr2P
Method: DFT, PBE-GGA
State: optimized geometry

```
6
Lattice="4.162 -1.497 0.000 4.162 1.497 0.000 -1.218 0.000 5.647" Properties=species:S:1:pos:R:3 pbc="T T T"
Cr 0.000 0.000 0.000
Cr 0.085 0.000 3.172
Cr 2.338 0.000 3.760
Cr 5.884 0.000 1.587
P 3.432 0.000 1.584
P 4.794 0.000 4.912
```

E = -8.5441 eV/atom
DOS(E_F) = 0.99 states/eV/atom
calculated formation energy = -0.325 eV per atom



Material: CrP6
Method: DFT, PBE-GGA
State: optimized geometry

```
28
Lattice="5.238 0.000 0.000 0.000 12.786 0.000 0.000 0.000 8.050" Properties=species:S:1:pos:R:3 pbc="T T T"
Cr 0.032 3.197 1.306
Cr 2.587 9.590 5.331
Cr 2.651 3.197 2.719
Cr 5.205 9.590 6.744
P 0.206 1.512 7.646
P 0.206 4.881 7.646
P 0.580 3.197 6.221
P 0.584 3.197 3.726
P 0.677 7.915 4.963
P 0.677 11.264 4.963
P 1.942 1.522 0.938
P 1.942 4.871 0.938
P 2.035 9.590 7.752
P 2.039 9.590 2.195
P 2.413 7.905 3.621
P 2.413 11.274 3.621
P 2.825 1.512 4.430
P 2.825 4.881 4.430
P 3.199 3.197 5.855
P 3.203 3.197 0.299
P 3.296 7.915 7.113
P 3.296 11.264 7.113
P 4.561 1.522 3.088
P 4.561 4.871 3.088
P 4.654 9.590 4.324
P 4.657 9.590 1.830
P 5.032 7.905 0.405
P 5.032 11.274 0.405
```

E = -5.9099 eV/atom
DOS(E_F) = 0.46 states/eV/atom
calculated formation energy = 0.102 eV per atom



Material: Cr5P3
Method: DFT, PBE-GGA
State: optimized geometry

```
32
Lattice="9.039 0.000 0.000 0.000 7.050 0.000 0.000 0.000 5.929" Properties=species:S:1:pos:R:3 pbc="T T T"
Cr 0.161 1.762 0.166
Cr 0.799 0.335 4.049
Cr 0.799 3.189 4.049
Cr 1.766 5.287 2.069
Cr 2.219 1.762 1.849
Cr 2.301 5.287 4.814
Cr 2.754 1.762 5.034
Cr 3.721 3.860 1.085
Cr 3.721 6.714 1.085
Cr 4.359 5.287 3.131
Cr 4.680 1.762 2.798
Cr 5.318 0.335 4.845
Cr 5.318 3.189 4.845
Cr 6.285 5.287 0.895
Cr 6.738 1.762 1.116
Cr 6.821 5.287 4.080
Cr 7.274 1.762 3.860
Cr 8.241 3.860 1.880
Cr 8.241 6.714 1.880
Cr 8.879 5.287 5.763
P 0.020 5.287 3.508
P 1.497 3.602 0.382
P 1.497 6.973 0.382
P 3.022 0.077 3.347
P 3.022 3.448 3.347
P 4.500 1.762 0.544
P 4.539 5.287 5.386
P 6.017 3.602 2.582
P 6.017 6.973 2.582
P 7.542 0.077 5.547
P 7.542 3.448 5.547
P 9.019 1.762 2.421
```

E = -8.4682 eV/atom
DOS(E_F) = 1.00 states/eV/atom
calculated formation energy = -0.425 eV per atom
energy relative to the lowest polymorph listed for this composition = 0.008 eV per atom



Material: CrP3
Method: DFT, PBE-GGA
State: optimized geometry

```
4
Lattice="2.626 -3.368 0.000 2.626 3.368 0.000 0.000 0.000 3.074" Properties=species:S:1:pos:R:3 pbc="T T T"
Cr 0.000 0.000 0.000
P 1.313 1.684 1.537
P 1.313 -1.684 1.537
P 2.626 0.000 0.000
```

E = -6.0879 eV/atom
DOS(E_F) = 0.60 states/eV/atom
calculated formation energy = 0.375 eV per atom
energy relative to the lowest polymorph listed for this composition = 0.491 eV per atom